VASP calculation (PBE) on a relaxed BaAg4Sn6 crystal.

VASP energy ... -0.129 Ha/atom
V ... 25.827 A^3/atom

Cell and atoms, written as CIF:
```
data_BaAg4Sn6
_space_group_name_H-M_alt 'P -6 m 2'
_space_group_IT_number 187
_space_group_name_Hall 'P -6 2'
_cell_length_a 8.4058
_cell_length_b 8.4058
_cell_length_c 4.6429
_cell_angle_alpha 90.00
_cell_angle_beta 90.00
_cell_angle_gamma 120.00
loop_
_atom_site_label
_atom_site_type_symbol
_atom_site_fract_x
_atom_site_fract_y
_atom_site_fract_z
Ba1 Ba 0.0000 0.0000 0.0000
Ag1 Ag 0.2082 0.4163 0.5000
Ag2 Ag 0.6667 0.3333 0.0000
Sn1 Sn 0.0666 0.5333 0.0000
Sn2 Sn 0.3983 0.1991 0.5000
```

VASP calculation (PBE) on a relaxed CaMg3Cd crystal.

VASP energy ... -0.061 Ha/atom
V ... 26.586 A^3/atom
Offset from the most stable computed form ... 0 meV/atom

Cell and atoms, written as CIF:
```
data_CaMg3Cd
_space_group_name_H-M_alt 'P 1 m 1'
_space_group_IT_number 6
_cell_length_a 7.545
_cell_length_b 4.483
_cell_length_c 8.214
_cell_angle_alpha 90.00
_cell_angle_beta 106.86
_cell_angle_gamma 90.00
loop_
_space_group_symop_operation_xyz
'x,y,z'
'x,-y,z'
loop_
_atom_site_label
_atom_site_type_symbol
_atom_site_fract_x
_atom_site_fract_y
_atom_site_fract_z
Ca1 Ca 0.000 0.000 0.000
Ca2 Ca 0.365 0.500 0.344
Mg1 Mg 0.101 0.000 0.529
Mg2 Mg 0.264 0.500 0.814
Mg3 Mg 0.501 0.000 0.064
Mg4 Mg 0.525 0.000 0.694
Mg5 Mg 0.841 0.500 0.651
Mg6 Mg 0.862 0.500 0.280
Cd1 Cd 0.672 0.500 0.925
Cd2 Cd 0.693 0.000 0.419
```

Question: Look up the VASP energy of the second one.
Answer: -0.061 Ha/atom

What did the second record say?
VASP calculation (PBE) on a relaxed CaMg3Cd crystal.

VASP energy ... -0.061 Ha/atom
V ... 26.586 A^3/atom
Offset from the most stable computed form ... 0 meV/atom

Cell and atoms, written as CIF:
```
data_CaMg3Cd
_space_group_name_H-M_alt 'P 1 m 1'
_space_group_IT_number 6
_cell_length_a 7.545
_cell_length_b 4.483
_cell_length_c 8.214
_cell_angle_alpha 90.00
_cell_angle_beta 106.86
_cell_angle_gamma 90.00
loop_
_space_group_symop_operation_xyz
'x,y,z'
'x,-y,z'
loop_
_atom_site_label
_atom_site_type_symbol
_atom_site_fract_x
_atom_site_fract_y
_atom_site_fract_z
Ca1 Ca 0.000 0.000 0.000
Ca2 Ca 0.365 0.500 0.344
Mg1 Mg 0.101 0.000 0.529
Mg2 Mg 0.264 0.500 0.814
Mg3 Mg 0.501 0.000 0.064
Mg4 Mg 0.525 0.000 0.694
Mg5 Mg 0.841 0.500 0.651
Mg6 Mg 0.862 0.500 0.280
Cd1 Cd 0.672 0.500 0.925
Cd2 Cd 0.693 0.000 0.419
```

What did the first record say?
VASP calculation (PBE) on a relaxed BaAg4Sn6 crystal.

VASP energy ... -0.129 Ha/atom
V ... 25.827 A^3/atom

Cell and atoms, written as CIF:
```
data_BaAg4Sn6
_space_group_name_H-M_alt 'P -6 m 2'
_space_group_IT_number 187
_space_group_name_Hall 'P -6 2'
_cell_length_a 8.4058
_cell_length_b 8.4058
_cell_length_c 4.6429
_cell_angle_alpha 90.00
_cell_angle_beta 90.00
_cell_angle_gamma 120.00
loop_
_atom_site_label
_atom_site_type_symbol
_atom_site_fract_x
_atom_site_fract_y
_atom_site_fract_z
Ba1 Ba 0.0000 0.0000 0.0000
Ag1 Ag 0.2082 0.4163 0.5000
Ag2 Ag 0.6667 0.3333 0.0000
Sn1 Sn 0.0666 0.5333 0.0000
Sn2 Sn 0.3983 0.1991 0.5000
```